(1)
# MnAlV2O PBE with a Hubbard U relaxed
data_MnAlV2O
_chemical_formula_sum 'Mn1 Al1 V2 O1'
_space_group_name_H-M_alt 'P 4/m m m'
_space_group_IT_number 123
_space_group_name_Hall '-P 4 2'
_cell_length_a 4.9317
_cell_length_b 4.9317
_cell_length_c 4.9088
_cell_angle_alpha 90.00
_cell_angle_beta 90.00
_cell_angle_gamma 90.00
loop_
_atom_site_label
_atom_site_type_symbol
_atom_site_fract_x
_atom_site_fract_y
_atom_site_fract_z
Mn1 Mn 0.0000 0.0000 0.0000
Al1 Al 0.0000 0.0000 0.5000
V1 V 0.0000 0.5000 0.5000
O1 O 0.5000 0.5000 0.0000
# Magnetization, μB/f.u.: 1.073
# Fermi-level density of states, states/eV/f.u.: 2.8
# VASP energy, eV per cell: -23.13


(2)
# MnAlW2O8 PBE with a Hubbard U relaxed
data_MnAlW2O8
_chemical_formula_sum 'Mn2 Al2 W4 O16'
_space_group_name_H-M_alt 'P 1 c 1'
_space_group_IT_number 7
_space_group_name_Hall 'P -2yc'
_cell_length_a 5.1229
_cell_length_b 5.6692
_cell_length_c 10.4876
_cell_angle_alpha 90.00
_cell_angle_beta 117.76
_cell_angle_gamma 90.00
loop_
_atom_site_label
_atom_site_type_symbol
_atom_site_fract_x
_atom_site_fract_y
_atom_site_fract_z
Mn1 Mn 0.0000 0.1516 0.0000
Al1 Al 0.4992 0.1575 0.5027
W1 W 0.2426 0.3293 0.7470
W2 W 0.7429 0.3380 0.2517
O1 O 0.1780 0.3805 0.3583
O2 O 0.2559 0.1041 0.8799
O3 O 0.2851 0.1396 0.6027
O4 O 0.3223 0.3900 0.1398
O5 O 0.6905 0.3824 0.8543
O6 O 0.7004 0.1450 0.3859
O7 O 0.7516 0.1077 0.1239
O8 O 0.7959 0.3836 0.6287
# Magnetization, μB/f.u.: 6.000
# Fermi-level density of states, states/eV/f.u.: 0.0
# VASP energy, eV per cell: -182.08


(3)
# MnAl2WO8 PBE with a Hubbard U relaxed
data_MnAl2WO8
_chemical_formula_sum 'Mn2 Al4 W2 O16'
_space_group_name_H-M_alt 'C m m m'
_space_group_IT_number 65
_space_group_name_Hall '-C 2 2'
_cell_length_a 6.2964
_cell_length_b 6.5646
_cell_length_c 5.8383
_cell_angle_alpha 90.00
_cell_angle_beta 90.00
_cell_angle_gamma 90.00
loop_
_atom_site_label
_atom_site_type_symbol
_atom_site_fract_x
_atom_site_fract_y
_atom_site_fract_z
Mn1 Mn 0.0000 0.0000 0.0000
Al1 Al 0.0000 0.5000 0.2411
W1 W 0.0000 0.0000 0.5000
O1 O 0.0000 0.1965 0.2523
O2 O 0.1901 0.5000 0.5000
O3 O 0.1957 0.5000 0.0000
# Magnetization, μB/f.u.: 3.002
# VASP energy, eV per cell: -176.61


(4)
# MnAlZn2O4 PBE with a Hubbard U relaxed
data_MnAlZn2O4
_chemical_formula_sum 'Mn2 Al2 Zn4 O8'
_space_group_name_H-M_alt 'I -4 2 m'
_space_group_IT_number 121
_space_group_name_Hall 'I -4 2'
_cell_length_a 4.7294
_cell_length_b 4.7294
_cell_length_c 9.0581
_cell_angle_alpha 90.00
_cell_angle_beta 90.00
_cell_angle_gamma 90.00
loop_
_atom_site_label
_atom_site_type_symbol
_atom_site_fract_x
_atom_site_fract_y
_atom_site_fract_z
Mn1 Mn 0.0000 0.0000 0.0000
Al1 Al 0.0000 0.0000 0.5000
Zn1 Zn 0.0000 0.5000 0.2500
O1 O 0.2211 0.2211 0.6158
# Magnetization, μB/f.u.: 5.029
# Fermi-level density of states, states/eV/f.u.: 0.8
# VASP energy, eV per cell: -95.17